1:
Entry from Alexandria: ZrCu2Tc after structural relaxation (PBE-GGA).

Lattice parameters (Å, degrees): 9.951 9.951 9.951 158.46 158.46 30.65
Atoms (fractional coordinates):
Zr: 0.000 0.000 0.000
Zr: 0.750 0.250 0.500
Cu: 0.154 0.625 0.029
Cu: 0.375 0.404 0.529
Cu: 0.596 0.125 0.971
Cu: 0.875 0.846 0.471
Tc: 0.250 0.750 0.500
Tc: 0.500 0.500 0.000

Summary:
**Space group**: I-42d, No. 122

2:
Entry from Alexandria: ZrCu2Tc after structural relaxation (PBE-GGA).

Lattice parameters (Å, degrees): 4.413 4.413 4.413 60.00 60.00 60.00
Atoms (fractional coordinates):
Zr: 0.000 0.000 0.000
Cu: 0.250 0.250 0.250
Cu: 0.750 0.750 0.750
Tc: 0.500 0.500 0.500

Summary:
**Space group**: Fm-3m, No. 225

3:
Entry from Alexandria: ZrCu2Tc after structural relaxation (PBE-GGA).

Lattice parameters (Å, degrees): 4.862 4.862 4.872 100.76 100.76 32.47
Atoms (fractional coordinates):
Zr: 0.000 0.000 0.000
Cu: 0.244 0.244 0.753
Cu: 0.518 0.518 0.506
Tc: 0.773 0.773 0.291

Summary:
**Space group**: Cm, No. 8

Order of stability, best first: 2, 3, 1

1:
Entry from Alexandria: ZrCuTc after structural relaxation (PBE-GGA).

Lattice parameters (Å, degrees): 4.976 4.976 4.976 140.72 140.72 56.75
Atoms (fractional coordinates):
Zr: 0.000 0.000 0.000
Cu: 0.317 0.317 0.000
Tc: 0.672 0.672 0.000

Summary:
**Space group**: I4mm, No. 107

2:
Entry from Alexandria: ZrCuTc after structural relaxation (PBE-GGA).

Lattice parameters (Å, degrees): 5.118 5.118 5.254 93.58 93.58 48.29
Atoms (fractional coordinates):
Zr: 0.000 0.000 0.000
Zr: 0.578 0.578 0.506
Cu: 0.289 0.289 0.770
Cu: 0.700 0.700 0.996
Tc: 0.296 0.296 0.266
Tc: 0.865 0.865 0.479

Summary:
**Space group**: Cm, No. 8

3:
Entry from Alexandria: ZrCuTc after structural relaxation (PBE-GGA).

Lattice parameters (Å, degrees): 4.415 3.357 6.718 90.00 102.25 90.00
Atoms (fractional coordinates):
Zr: 0.000 0.000 0.000
Zr: 0.368 0.000 0.632
Cu: 0.228 0.500 0.311
Cu: 0.486 0.500 0.977
Tc: 0.712 0.000 0.310
Tc: 0.871 0.500 0.639

Summary:
**Space group**: Pm, No. 6

Order of stability, best first: 3, 2, 1

1:
Entry from Alexandria: ZrCuTc2 after structural relaxation (PBE-GGA).

Lattice parameters (Å, degrees): 9.568 9.568 9.568 16.76 16.76 16.76
Atoms (fractional coordinates):
Zr: 0.000 0.000 0.000
Cu: 0.500 0.500 0.500
Tc: 0.242 0.242 0.242
Tc: 0.758 0.758 0.758

Summary:
**Space group**: R-3m, No. 166

2:
Entry from Alexandria: ZrCuTc2 after structural relaxation (PBE-GGA).

Lattice parameters (Å, degrees): 2.919 4.610 4.761 90.00 94.28 90.00
Atoms (fractional coordinates):
Zr: 0.000 0.000 0.000
Cu: 0.500 0.000 0.500
Tc: 0.314 0.500 0.747
Tc: 0.686 0.500 0.253

Summary:
**Space group**: P2/m, No. 10

Order of stability, best first: 2, 1

1:
Entry from Alexandria: ZrCuTc2 after structural relaxation (PBE-GGA).

Lattice parameters (Å, degrees): 2.680 2.680 8.750 90.00 90.00 90.00
Atoms (fractional coordinates):
Zr: 0.000 0.000 0.000
Cu: 0.000 0.000 0.500
Tc: 0.500 0.500 0.277
Tc: 0.500 0.500 0.723

Summary:
**Space group**: P4/mmm, No. 123

2:
Entry from Alexandria: ZrCuTc2 after structural relaxation (PBE-GGA).

Lattice parameters (Å, degrees): 9.834 9.834 9.834 157.69 157.69 31.76
Atoms (fractional coordinates):
Zr: 0.000 0.000 0.000
Zr: 0.750 0.250 0.500
Cu: 0.250 0.750 0.500
Cu: 0.500 0.500 0.000
Tc: 0.172 0.625 0.047
Tc: 0.375 0.422 0.547
Tc: 0.578 0.125 0.953
Tc: 0.875 0.828 0.453

Summary:
**Space group**: I-42d, No. 122

Order of stability, best first: 1, 2

1:
Entry from Alexandria: ZrCuTc2 after structural relaxation (PBE-GGA).

Lattice parameters (Å, degrees): 5.235 5.235 5.235 143.60 130.86 62.67
Atoms (fractional coordinates):
Zr: 0.000 0.000 0.000
Cu: 0.500 0.500 0.000
Tc: 0.249 0.749 0.500
Tc: 0.751 0.251 0.500

Summary:
**Space group**: Immm, No. 71

2:
Entry from Alexandria: ZrCuTc2 after structural relaxation (PBE-GGA).

Lattice parameters (Å, degrees): 4.464 4.464 4.464 60.00 60.00 60.00
Atoms (fractional coordinates):
Zr: 0.000 0.000 0.000
Cu: 0.500 0.500 0.500
Tc: 0.250 0.250 0.250
Tc: 0.750 0.750 0.750

Summary:
**Space group**: Fm-3m, No. 225

3:
Entry from Alexandria: ZrCuTc2 after structural relaxation (PBE-GGA).

Lattice parameters (Å, degrees): 2.910 4.312 5.187 90.00 101.76 90.00
Atoms (fractional coordinates):
Zr: 0.000 0.000 0.000
Cu: 0.574 0.500 0.205
Tc: 0.250 0.500 0.665
Tc: 0.573 0.000 0.505

Summary:
**Space group**: Pm, No. 6

4:
Entry from Alexandria: ZrCuTc2 after structural relaxation (PBE-GGA).

Lattice parameters (Å, degrees): 3.860 3.860 4.191 90.00 90.00 90.00
Atoms (fractional coordinates):
Zr: 0.000 0.000 0.000
Cu: 0.500 0.500 0.000
Tc: 0.000 0.500 0.500
Tc: 0.500 0.000 0.500

Summary:
**Space group**: P4/mmm, No. 123

Order of stability, best first: 4, 3, 1, 2

1:
Entry from Alexandria: ZrCuTc2 after structural relaxation (PBE-GGA).

Lattice parameters (Å, degrees): 4.657 4.657 4.657 126.78 126.78 78.61
Atoms (fractional coordinates):
Zr: 0.000 0.000 0.000
Cu: 0.250 0.750 0.500
Tc: 0.500 0.500 0.000
Tc: 0.750 0.250 0.500

Summary:
**Space group**: I-4m2, No. 119

2:
Entry from Alexandria: ZrCuTc2 after structural relaxation (PBE-GGA).

Lattice parameters (Å, degrees): 3.277 3.277 5.894 90.00 90.00 90.00
Atoms (fractional coordinates):
Zr: 0.000 0.000 0.000
Cu: 0.500 0.500 0.259
Tc: 0.000 0.000 0.492
Tc: 0.500 0.500 0.715

Summary:
**Space group**: P4mm, No. 99

3:
Entry from Alexandria: ZrCuTc2 after structural relaxation (PBE-GGA).

Lattice parameters (Å, degrees): 4.800 4.800 4.653 102.77 102.77 37.87
Atoms (fractional coordinates):
Zr: 0.000 0.000 0.000
Cu: 0.500 0.500 0.500
Tc: 0.234 0.234 0.708
Tc: 0.766 0.766 0.292

Summary:
**Space group**: C2/m, No. 12

4:
Entry from Alexandria: ZrCuTc2 after structural relaxation (PBE-GGA).

Lattice parameters (Å, degrees): 2.737 2.737 8.680 90.00 90.00 106.01
Atoms (fractional coordinates):
Zr: 0.000 0.000 0.000
Cu: 0.000 0.000 0.500
Tc: 0.500 0.500 0.268
Tc: 0.500 0.500 0.732

Summary:
**Space group**: Cmmm, No. 65

Order of stability, best first: 2, 1, 3, 4

1:
Entry from Alexandria: CuTe5 after structural relaxation (PBE-GGA).

Lattice parameters (Å, degrees): 3.936 11.513 11.513 19.06 90.00 90.00
Atoms (fractional coordinates):
Cu: 0.000 0.000 0.000
Te: 0.000 0.331 0.331
Te: 0.000 0.656 0.656
Te: 0.500 0.234 0.234
Te: 0.500 0.543 0.543
Te: 0.500 0.923 0.923

Summary:
**Space group**: Amm2, No. 38

2:
Entry from Alexandria: CuTe5 after structural relaxation (PBE-GGA).

Lattice parameters (Å, degrees): 7.664 7.664 7.263 103.40 103.40 30.94
Atoms (fractional coordinates):
Cu: 0.000 0.000 0.000
Te: 0.052 0.052 0.354
Te: 0.289 0.289 0.918
Te: 0.355 0.355 0.316
Te: 0.451 0.451 0.793
Te: 0.699 0.699 0.352

Summary:
**Space group**: Cm, No. 8

3:
Entry from Alexandria: CuTe5 after structural relaxation (PBE-GGA).

Lattice parameters (Å, degrees): 9.879 9.879 4.964 90.00 90.00 157.73
Atoms (fractional coordinates):
Cu: 0.000 0.000 0.000
Te: 0.195 0.805 0.500
Te: 0.402 0.598 0.000
Te: 0.500 0.500 0.500
Te: 0.598 0.402 0.000
Te: 0.805 0.195 0.500

Summary:
**Space group**: Cmmm, No. 65

4:
Entry from Alexandria: CuTe5 after structural relaxation (PBE-GGA).

Lattice parameters (Å, degrees): 3.567 3.567 12.747 90.00 90.00 90.00
Atoms (fractional coordinates):
Cu: 0.000 0.000 0.000
Te: 0.000 0.000 0.338
Te: 0.000 0.000 0.662
Te: 0.500 0.500 0.113
Te: 0.500 0.500 0.500
Te: 0.500 0.500 0.887

Summary:
**Space group**: P4/mmm, No. 123

Order of stability, best first: 2, 3, 1, 4

1:
Entry from Alexandria: CuTe5 after structural relaxation (PBE-GGA).

Lattice parameters (Å, degrees): 7.008 7.008 3.976 90.00 90.00 120.00
Atoms (fractional coordinates):
Cu: 0.000 0.000 0.000
Te: 0.000 0.725 0.500
Te: 0.275 0.275 0.500
Te: 0.333 0.667 0.000
Te: 0.667 0.333 0.000
Te: 0.725 0.000 0.500

Summary:
**Space group**: P-62m, No. 189

2:
Entry from Alexandria: CuTe5 after structural relaxation (PBE-GGA).

Lattice parameters (Å, degrees): 6.291 6.291 6.291 60.00 60.00 60.00
Atoms (fractional coordinates):
Cu: 0.000 0.000 0.000
Te: 0.376 0.376 0.376
Te: 0.376 0.376 0.872
Te: 0.376 0.872 0.376
Te: 0.750 0.750 0.750
Te: 0.872 0.376 0.376

Summary:
**Space group**: F-43m, No. 216

Order of stability, best first: 1, 2

1:
Entry from Alexandria: Cu3Te5 after structural relaxation (PBE-GGA).

Lattice parameters (Å, degrees): 7.435 7.435 3.893 90.00 90.00 113.80
Atoms (fractional coordinates):
Cu: 0.000 0.000 0.000
Cu: 0.179 0.821 0.500
Cu: 0.821 0.179 0.500
Te: 0.000 0.500 0.000
Te: 0.205 0.205 0.500
Te: 0.500 0.000 0.000
Te: 0.500 0.500 0.000
Te: 0.795 0.795 0.500

Summary:
**Space group**: Cmmm, No. 65

2:
Entry from Alexandria: Cu3Te5 after structural relaxation (PBE-GGA).

Lattice parameters (Å, degrees): 6.264 8.644 8.573 90.00 111.35 90.00
Atoms (fractional coordinates):
Cu: 0.049 0.250 0.141
Cu: 0.234 0.750 0.500
Cu: 0.411 0.250 0.861
Cu: 0.589 0.750 0.139
Cu: 0.766 0.250 0.500
Cu: 0.951 0.750 0.859
Te: 0.143 0.001 0.783
Te: 0.143 0.499 0.783
Te: 0.175 0.250 0.499
Te: 0.201 0.750 0.189
Te: 0.486 0.250 0.191
Te: 0.514 0.750 0.809
Te: 0.799 0.250 0.811
Te: 0.825 0.750 0.501
Te: 0.857 0.501 0.217
Te: 0.857 0.999 0.217

Summary:
**Space group**: P2_1/m, No. 11

Order of stability, best first: 2, 1

1:
Entry from Alexandria: CuTe4 after structural relaxation (PBE-GGA).

Lattice parameters (Å, degrees): 5.163 5.163 5.163 90.00 90.00 90.00
Atoms (fractional coordinates):
Cu: 0.000 0.000 0.000
Te: 0.000 0.000 0.500
Te: 0.000 0.500 0.000
Te: 0.500 0.000 0.000
Te: 0.500 0.500 0.500

Summary:
**Space group**: Pm-3m, No. 221

2:
Entry from Alexandria: CuTe4 after structural relaxation (PBE-GGA).

Lattice parameters (Å, degrees): 5.952 5.952 10.807 94.04 94.04 98.19
Atoms (fractional coordinates):
Cu: 0.237 0.763 0.000
Cu: 0.763 0.237 0.000
Te: 0.079 0.079 0.379
Te: 0.094 0.439 0.147
Te: 0.231 0.231 0.762
Te: 0.439 0.094 0.147
Te: 0.561 0.906 0.853
Te: 0.769 0.769 0.238
Te: 0.906 0.561 0.853
Te: 0.921 0.921 0.621

Summary:
**Space group**: C2/m, No. 12

Order of stability, best first: 2, 1